No. 1
{
  "formula": "TlSiAg2",
  "functional": "GGA-PBE",
  "state": "optimized geometry",
  "space_group": "Pmmm (47)",
  "total_energy_ev_per_atom": -3.105,
  "lattice_angstrom": [[3.046, 0.000, 0.000], [0.000, 3.371, 0.000], [0.000, 0.000, 7.999]],
  "species": ["Ag", "Ag", "Si", "Tl"],
  "frac_coords": [[0.000, 0.000, 0.052], [0.000, 0.000, 0.448], [0.500, 0.500, 0.250], [0.500, 0.500, 0.750]]
}

No. 2
{
  "formula": "TlSiAg2",
  "functional": "GGA-PBE",
  "state": "optimized geometry",
  "space_group": "Pmm2 (25)",
  "total_energy_ev_per_atom": -3.083,
  "lattice_angstrom": [[3.035, 0.000, 0.000], [0.000, 4.111, 0.000], [0.000, 0.000, 6.636]],
  "species": ["Ag", "Ag", "Si", "Tl"],
  "frac_coords": [[0.000, 0.000, 0.036], [0.500, 0.500, 0.277], [0.000, 0.000, 0.431], [0.500, 0.500, 0.755]]
}

No. 3
{
  "formula": "TlSiAg2",
  "functional": "GGA-PBE",
  "state": "optimized geometry",
  "space_group": "I4/mmm (139)",
  "total_energy_ev_per_atom": -3.007,
  "lattice_angstrom": [[-2.483, -4.160, -2.125], [-2.651, -2.638, 3.741], [0.126, 5.120, -1.324]],
  "species": ["Ag", "Ag", "Si", "Tl"],
  "frac_coords": [[0.000, 0.000, 0.000], [0.500, 0.500, 0.000], [0.250, 0.750, 0.500], [0.750, 0.250, 0.500]]
}

Copy entry 1 word for word.
{
  "formula": "TlSiAg2",
  "functional": "GGA-PBE",
  "state": "optimized geometry",
  "space_group": "Pmmm (47)",
  "total_energy_ev_per_atom": -3.105,
  "lattice_angstrom": [[3.046, 0.000, 0.000], [0.000, 3.371, 0.000], [0.000, 0.000, 7.999]],
  "species": ["Ag", "Ag", "Si", "Tl"],
  "frac_coords": [[0.000, 0.000, 0.052], [0.000, 0.000, 0.448], [0.500, 0.500, 0.250], [0.500, 0.500, 0.750]]
}